[1]
## YTmAg2Se4 (PBE-GGA)

Data for an optimized crystal structure of YTmAg2Se4.

Calculated values
Final energy (eV/f.u.): -40.29
Crystal system: orthorhombic

Cell and atoms, written as extended XYZ:
```
8
Lattice="4.761 -4.769 0.000 4.761 4.769 0.000 0.000 0.000 4.292" Properties=species:S:1:pos:R:3 pbc="T T T"
Tm 0.000 0.000 0.876
Se 2.819 0.000 1.219
Ag 2.381 2.385 0.000
Se 6.704 0.000 1.219
Se 4.761 2.868 3.074
Ag 2.381 -2.385 0.000
Y 4.761 0.000 3.413
Se 4.761 -2.868 3.074
```

***

[2]
## LiCuNiAs (PBE-GGA)

Data for an optimized crystal structure of LiCuNiAs.

Calculated values
Excess energy over the best structure of this formula in the dataset (eV/atom): 0.0000
Crystal system: cubic

Cell and atoms, written as extended XYZ:
```
4
Lattice="0.000 2.900 2.900 2.900 0.000 2.900 2.900 2.900 0.000" Properties=species:S:1:pos:R:3 pbc="T T T"
Li 1.450 1.450 1.450
Ni 4.350 4.350 4.350
As 0.000 0.000 0.000
Cu 2.900 2.900 2.900
```

***

[3]
## HfMgMo (PBE-GGA)

Data for an optimized crystal structure of HfMgMo.

Calculated values
Excess energy over the best structure of this formula in the dataset (eV/atom): 0.0000
Crystal system: cubic

Cell and atoms, written as extended XYZ:
```
3
Lattice="0.725 -3.105 3.247 -3.008 -3.351 0.656 1.072 -4.274 -1.137" Properties=species:S:1:pos:R:3 pbc="T T T"
Hf -0.303 -2.683 0.692
Mg -0.908 -8.048 2.075
Mo 0.000 0.000 0.000
```

***

[4]
## RbHfCdF7 (PBE-GGA)

Data for an optimized crystal structure of RbHfCdF7.

Calculated values
Final energy (eV/f.u.): -56.64
Crystal system: orthorhombic

Cell and atoms, written as extended XYZ:
```
20
Lattice="3.353 -5.379 0.000 3.353 5.379 0.000 0.000 0.000 8.359" Properties=species:S:1:pos:R:3 pbc="T T T"
F 1.185 -1.572 6.269
Hf 3.353 -2.096 2.090
F 5.522 1.572 2.090
F 3.353 2.251 4.291
F 3.353 -2.251 0.112
F 3.353 -0.095 2.090
Cd 3.353 -2.089 6.269
F 5.334 1.470 6.269
Cd 3.353 2.089 2.090
Rb 0.000 0.000 0.000
F 3.353 0.095 6.269
F 1.185 1.572 2.090
F 3.353 2.251 8.247
F 3.353 -2.251 4.068
Hf 3.353 2.096 6.269
F 5.522 -1.572 6.269
F 5.334 -1.470 2.090
F 1.373 -1.470 2.090
Rb 0.000 0.000 4.179
F 1.373 1.470 6.269
```

***

[5]
## CoB2Pb (PBE-GGA)

Data for an optimized crystal structure of CoB2Pb.

Calculated values
Final energy (eV/f.u.): -17.01
Crystal system: cubic

Cell and atoms, written as extended XYZ:
```
4
Lattice="0.000 2.976 2.976 2.976 0.000 2.976 2.976 2.976 0.000" Properties=species:S:1:pos:R:3 pbc="T T T"
Pb 2.976 2.976 2.976
Co 1.488 1.488 1.488
B 0.000 0.000 0.000
B 4.464 4.464 4.464
```

***

[6]
## HfScCu2Ge2 (PBE-GGA)

Data for an optimized crystal structure of HfScCu2Ge2.

Calculated values
Final energy (eV/f.u.): -36.20
Crystal system: trigonal

Cell and atoms, written as extended XYZ:
```
6
Lattice="4.192 0.000 0.000 -2.096 3.630 0.000 0.000 0.000 6.432" Properties=species:S:1:pos:R:3 pbc="T T T"
Hf 0.000 0.000 1.535
Cu 2.096 1.210 3.451
Ge 0.000 2.420 3.023
Sc 0.000 0.000 4.755
Ge 2.096 1.210 6.226
Cu 0.000 2.420 0.305
```